[1]
BaSb PBE relaxed; formation energy without anion corrections = -38 kJ/mol of atoms; space group = P4/nmm, No. 129
1.0
4.2385 0.0000 0.0000
0.0000 4.2385 0.0000
0.0000 0.0000 9.6148
Ba Sb
2 2
Direct
0.2500 0.2500 0.2018
0.7500 0.7500 0.7982
0.2500 0.2500 0.5579
0.7500 0.7500 0.4421

***

[2]
Ba2Sb PBE relaxed; formation energy without anion corrections = -80 kJ/mol of atoms; space group = Cmc2_1, No. 36
1.0
2.5052 -7.2529 0.0000
2.5052 7.2529 0.0000
0.0000 0.0000 7.6272
Ba Sb
4 2
Direct
0.0003 0.9997 0.0000
0.9997 0.0003 0.5000
0.2904 0.7096 0.7520
0.7096 0.2904 0.2520
0.3802 0.6198 0.2494
0.6198 0.3802 0.7494

***

[3]
BaSb PBE relaxed; formation energy without anion corrections = -80 kJ/mol of atoms; space group = Cmcm, No. 63
1.0
2.5167 -6.2498 0.0000
2.5167 6.2498 0.0000
0.0000 0.0000 5.1913
Ba Sb
2 2
Direct
0.1356 0.8644 0.7500
0.8644 0.1356 0.2500
0.4277 0.5723 0.7500
0.5723 0.4277 0.2500

***

[4]
BaSb PBE relaxed; formation energy without anion corrections = -67 kJ/mol of atoms; space group = R-3m, No. 166
1.0
2.3541 1.3591 4.5971
-2.3541 1.3591 4.5971
0.0000 -2.7182 4.5971
Ba Sb
1 1
Direct
0.0000 0.0000 0.0000
0.5000 0.5000 0.5000

***

[5]
Ba5Sb PBE relaxed; formation energy without anion corrections = 12 kJ/mol of atoms; energy above the most stable polymorph in this dataset = 0.468 eV per atom; space group = F-43m, No. 216
1.0
0.0000 5.3820 5.3820
5.3820 0.0000 5.3820
5.3820 5.3820 0.0000
Ba Sb
5 1
Direct
0.0000 0.0000 0.0000
0.1309 0.6230 0.6230
0.6230 0.1309 0.6230
0.6230 0.6230 0.1309
0.6230 0.6230 0.6230
0.2500 0.2500 0.2500

***

[6]
Ba2Sb PBE relaxed; formation energy without anion corrections = -5 kJ/mol of atoms; space group = Fd-3m, No. 227
1.0
0.0000 4.9805 4.9805
4.9805 0.0000 4.9805
4.9805 4.9805 0.0000
Ba Sb
4 2
Direct
0.0000 0.0000 0.0000
0.0000 0.0000 0.5000
0.0000 0.5000 0.0000
0.5000 0.0000 0.0000
0.3750 0.3750 0.3750
0.6250 0.6250 0.6250